# GGA-PBEsol CaSbTe2N, optimized geometry
# symmetry	P4/mmm
# formation energy (no corrections)	631.8	meV/atom
# offset from the most stable computed form	675	meV/atom
data_CaSbTe2N
_space_group_name_H-M_alt 'P 1'
_space_group_IT_number 1
_cell_length_a 5.780
_cell_length_b 5.780
_cell_length_c 4.298
_cell_angle_alpha 90.00
_cell_angle_beta 90.00
_cell_angle_gamma 90.00
loop_
_space_group_symop_operation_xyz
'x,y,z'
loop_
_atom_site_label
_atom_site_fract_x
_atom_site_fract_y
_atom_site_fract_z
Ca1 0.000 0.000 0.000
Sb1 0.500 0.500 0.500
Te1 0.000 0.500 0.000
Te2 0.500 0.000 0.000
N1 0.000 0.000 0.500

***

# GGA-PBEsol LaAgPb, optimized geometry
# symmetry	P6_3mc
# ΔE_f	-0.522	eV/atom
data_LaAgPb
_space_group_name_H-M_alt 'P 1'
_space_group_IT_number 1
_cell_length_a 4.855
_cell_length_b 4.855
_cell_length_c 7.724
_cell_angle_alpha 90.00
_cell_angle_beta 90.00
_cell_angle_gamma 120.00
loop_
_space_group_symop_operation_xyz
'x,y,z'
loop_
_atom_site_label
_atom_site_fract_x
_atom_site_fract_y
_atom_site_fract_z
La1 0.000 0.000 0.000
La2 0.000 0.000 0.500
Ag1 0.333 0.667 0.196
Ag2 0.667 0.333 0.696
Pb1 0.333 0.667 0.782
Pb2 0.667 0.333 0.282

***

# GGA-PBEsol FeAs4Se, optimized geometry
# symmetry	F-43m
# formation energy (no corrections)	721.4	meV/atom
data_FeAs4Se
_space_group_name_H-M_alt 'P 1'
_space_group_IT_number 1
_cell_length_a 5.428
_cell_length_b 5.428
_cell_length_c 5.428
_cell_angle_alpha 60.00
_cell_angle_beta 60.00
_cell_angle_gamma 60.00
loop_
_space_group_symop_operation_xyz
'x,y,z'
loop_
_atom_site_label
_atom_site_fract_x
_atom_site_fract_y
_atom_site_fract_z
Fe1 0.000 0.000 0.000
As1 0.376 0.376 0.376
As2 0.376 0.376 0.872
As3 0.376 0.872 0.376
As4 0.872 0.376 0.376
Se1 0.750 0.750 0.750